Compound: GdHo2Mn
Source: the Alexandria database
Functional: PBE
Structure: relaxed

Properties
Formation energy ... 0.10 eV per atom
Magnetic moment ... 10.90 μB/f.u.
V ... 107.2 Å³ per cell

a b c (Å): 3.5336 3.5336 8.5864
angles (deg): 90.00 90.00 90.00
Space group P4/mmm (No. 123)
Inequivalent atoms, fractional coordinates:
Gd (0.0000, 0.0000, 0.0000)
Ho (0.5000, 0.5000, 0.3024)
Mn (0.0000, 0.0000, 0.5000)